(1)
A plane-wave DFT calculation with meta-GGA SCAN was carried out for a PBEsol-optimized structure of RbCr3Au.

The crystal system is cubic. The value obtained for the total energy is -141.497 eV/f.u. For the density of states at the Fermi level, the calculation gives 0.437 states/eV/atom.

The structure belongs to space group Pm-3m (No. 221); the cell edges are 5.1687, 5.1687 and 5.1687 Å and the angles 90.00°, 90.00° and 90.00°. Symmetry generates all atoms from Rb at (0.0000, 0.0000, 0.0000), Cr at (0.0000, 0.5000, 0.5000) and Au at (0.5000, 0.5000, 0.5000).


(2)
A plane-wave DFT calculation with meta-GGA SCAN was carried out for a PBEsol-optimized structure of RbCrAu3.

The crystal system is cubic. The value obtained for the total energy is -246.221 eV/f.u. For the density of states at the Fermi level, the calculation gives 0.436 states/eV/atom.

The structure belongs to space group Pm-3m (No. 221); the cell edges are 5.0464, 5.0464 and 5.0464 Å and the angles 90.00°, 90.00° and 90.00°. Symmetry generates all atoms from Rb at (0.0000, 0.0000, 0.0000), Cr at (0.5000, 0.5000, 0.5000) and Au at (0.0000, 0.5000, 0.5000).


(3)
A plane-wave DFT calculation with meta-GGA SCAN was carried out for a PBEsol-optimized structure of CrRe2Au.

The crystal system is tetragonal. The value obtained for the total energy is -228.430 eV/f.u. For the density of states at the Fermi level, the calculation gives 0.456 states/eV/atom.

The structure belongs to space group P4/mmm (No. 123); the cell edges are 3.1663, 3.1663 and 5.8030 Å and the angles 90.00°, 90.00° and 90.00°. Symmetry generates all atoms from Cr at (0.0000, 0.0000, 0.0000), Re at (0.5000, 0.5000, 0.2115) and Au at (0.0000, 0.0000, 0.5000).


(4)
A plane-wave DFT calculation with meta-GGA SCAN was carried out for a PBEsol-optimized structure of Cr2RhAu.

The crystal system is tetragonal. The value obtained for the total energy is -140.212 eV/f.u. For the density of states at the Fermi level, the calculation gives 0.893 states/eV/atom.

The structure belongs to space group I-4m2 (No. 119); the cell edges are 3.8001, 3.8001 and 7.5855 Å and the angles 90.00°, 90.00° and 90.00°. Symmetry generates all atoms from Cr at (0.0000, 0.0000, 0.0000), Cr at (0.0000, 0.5000, 0.2500), Rh at (0.0000, 0.5000, 0.7500) and Au at (0.0000, 0.0000, 0.5000).


(5)
A plane-wave DFT calculation with meta-GGA SCAN was carried out for a PBEsol-optimized structure of CrRuAu.

The crystal system is cubic. The value obtained for the total energy is -120.376 eV/f.u. The value obtained for the energy above the most stable polymorph in this dataset is 0.473 eV/atom. For the density of states at the Fermi level, the calculation gives 0.849 states/eV/atom.

The structure belongs to space group F-43m (No. 216); the cell edges are 5.9769, 5.9769 and 5.9769 Å and the angles 90.00°, 90.00° and 90.00°. Symmetry generates all atoms from Cr at (0.0000, 0.0000, 0.0000), Ru at (0.0000, 0.0000, 0.5000) and Au at (0.2500, 0.2500, 0.2500).


(6)
A plane-wave DFT calculation with meta-GGA SCAN was carried out for a PBEsol-optimized structure of CrRuAu.

The crystal system is trigonal. The value obtained for the total energy is -121.638 eV/f.u. The value obtained for the energy above the most stable polymorph in this dataset is 0.052 eV/atom. For the density of states at the Fermi level, the calculation gives 0.882 states/eV/atom.

The structure belongs to space group P3m1 (No. 156); the cell edges are 2.6961, 2.6961 and 6.6506 Å and the angles 90.00°, 90.00° and 120.00°. Symmetry generates all atoms from Cr at (0.0000, 0.0000, 0.0000), Ru at (0.3333, 0.6667, 0.7136) and Au at (0.6667, 0.3333, 0.3444).


(7)
A plane-wave DFT calculation with meta-GGA SCAN was carried out for a PBEsol-optimized structure of CrRuAu.

The crystal system is tetragonal. The value obtained for the total energy is -121.796 eV/f.u. The value obtained for the energy above the most stable polymorph in this dataset is 0.000 eV/atom. For the density of states at the Fermi level, the calculation gives 1.081 states/eV/atom.

The structure belongs to space group I4mm (No. 107); the cell edges are 2.7544, 2.7544 and 11.0803 Å and the angles 90.00°, 90.00° and 90.00°. Symmetry generates all atoms from Cr at (0.0000, 0.0000, 0.0000), Ru at (0.0000, 0.0000, 0.6295) and Au at (0.0000, 0.0000, 0.3221).


(8)
A plane-wave DFT calculation with meta-GGA SCAN was carried out for a PBEsol-optimized structure of CrSnRuAu2.

The crystal system is tetragonal. The value obtained for the total energy is -221.306 eV/f.u. For the density of states at the Fermi level, the calculation gives 0.632 states/eV/atom.

The structure belongs to space group P4/mmm (No. 123); the cell edges are 4.7299, 4.7299 and 4.8178 Å and the angles 90.00°, 90.00° and 90.00°. Symmetry generates all atoms from Cr at (0.0000, 0.0000, 0.0000), Sn at (0.0000, 0.0000, 0.5000), Ru at (0.5000, 0.5000, 0.5000) and Au at (0.0000, 0.5000, 0.0000).


(9)
A plane-wave DFT calculation with meta-GGA SCAN was carried out for a PBEsol-optimized structure of CrAu2S2.

The crystal system is tetragonal. The value obtained for the total energy is -174.041 eV/f.u. For the density of states at the Fermi level, the calculation gives 0.683 states/eV/atom. As for the raw formation energy: 0.38 eV/atom.

The structure belongs to space group I4/mmm (No. 139); the cell edges are 3.2224, 3.2224 and 17.2198 Å and the angles 90.00°, 90.00° and 90.00°. Symmetry generates all atoms from Cr at (0.0000, 0.0000, 0.0000), Au at (0.0000, 0.0000, 0.4118) and S at (0.0000, 0.5000, 0.2500).


(10)
A plane-wave DFT calculation with meta-GGA SCAN was carried out for a PBEsol-optimized structure of Cr3AuS.

The crystal system is cubic. The value obtained for the total energy is -131.608 eV/f.u. For the density of states at the Fermi level, the calculation gives 1.321 states/eV/atom. As for the raw formation energy: 0.47 eV/atom.

The structure belongs to space group Pm-3m (No. 221); the cell edges are 4.1054, 4.1054 and 4.1054 Å and the angles 90.00°, 90.00° and 90.00°. Symmetry generates all atoms from Cr at (0.0000, 0.0000, 0.5000), Au at (0.5000, 0.5000, 0.5000) and S at (0.0000, 0.0000, 0.0000).


(11)
A plane-wave DFT calculation with meta-GGA SCAN was carried out for a PBEsol-optimized structure of CrAuS2.

The crystal system is trigonal. The value obtained for the total energy is -109.999 eV/f.u. As for the raw formation energy: -0.80 eV/atom.

The structure belongs to space group R-3m (No. 166, hexagonal axes); the cell edges are 3.4586, 3.4586 and 21.2094 Å and the angles 90.00°, 90.00° and 120.00°. Symmetry generates all atoms from Cr at (0.0000, 0.0000, 0.0000), Au at (0.0000, 0.0000, 0.5000) and S at (0.0000, 0.0000, 0.3923).


(12)
A plane-wave DFT calculation with meta-GGA SCAN was carried out for a PBEsol-optimized structure of CrTeAu2S.

The crystal system is tetragonal. The value obtained for the total energy is -201.183 eV/f.u. For the density of states at the Fermi level, the calculation gives 0.369 states/eV/atom. As for the raw formation energy: 0.48 eV/atom.

The structure belongs to space group P4/mmm (No. 123); the cell edges are 4.5646, 4.5646 and 5.6508 Å and the angles 90.00°, 90.00° and 90.00°. Symmetry generates all atoms from Cr at (0.0000, 0.0000, 0.0000), Te at (0.5000, 0.5000, 0.0000), Au at (0.0000, 0.5000, 0.5000) and S at (0.5000, 0.5000, 0.5000).


(13)
A plane-wave DFT calculation with meta-GGA SCAN was carried out for a PBEsol-optimized structure of YCrAuS2.

The crystal system is tetragonal. The value obtained for the total energy is -135.978 eV/f.u. For the density of states at the Fermi level, the calculation gives 0.473 states/eV/atom. As for the raw formation energy: -0.27 eV/atom.

The structure belongs to space group P4/mmm (No. 123); the cell edges are 4.2879, 4.2879 and 5.4452 Å and the angles 90.00°, 90.00° and 90.00°. Symmetry generates all atoms from Y at (0.0000, 0.0000, 0.0000), Cr at (0.0000, 0.0000, 0.5000), Au at (0.5000, 0.5000, 0.0000) and S at (0.0000, 0.5000, 0.5000).


(14)
A plane-wave DFT calculation with meta-GGA SCAN was carried out for a PBEsol-optimized structure of CrSbAu.

The crystal system is tetragonal. The value obtained for the total energy is -124.711 eV/f.u. For the density of states at the Fermi level, the calculation gives 0.672 states/eV/atom. As for the raw formation energy: 0.03 eV/atom.

The structure belongs to space group I4mm (No. 107); the cell edges are 3.6419, 3.6419 and 8.3840 Å and the angles 90.00°, 90.00° and 90.00°. Symmetry generates all atoms from Cr at (0.0000, 0.0000, 0.0000), Sb at (0.0000, 0.0000, 0.3349) and Au at (0.0000, 0.0000, 0.6608).


(15)
A plane-wave DFT calculation with meta-GGA SCAN was carried out for a PBEsol-optimized structure of Cr3SbAu.

The crystal system is cubic. The value obtained for the total energy is -158.053 eV/f.u. For the density of states at the Fermi level, the calculation gives 0.629 states/eV/atom. As for the raw formation energy: 0.70 eV/atom.

The structure belongs to space group Pm-3m (No. 221); the cell edges are 4.8939, 4.8939 and 4.8939 Å and the angles 90.00°, 90.00° and 90.00°. Symmetry generates all atoms from Cr at (0.0000, 0.0000, 0.5000), Sb at (0.5000, 0.5000, 0.5000) and Au at (0.0000, 0.0000, 0.0000).


(16)
A plane-wave DFT calculation with meta-GGA SCAN was carried out for a PBEsol-optimized structure of CrSb3Au.

The crystal system is cubic. The value obtained for the total energy is -196.885 eV/f.u. The value obtained for the energy above the most stable polymorph in this dataset is 0.000 eV/atom. For the density of states at the Fermi level, the calculation gives 0.464 states/eV/atom. As for the raw formation energy: 0.49 eV/atom.

The structure belongs to space group Pm-3m (No. 221); the cell edges are 4.9046, 4.9046 and 4.9046 Å and the angles 90.00°, 90.00° and 90.00°. Symmetry generates all atoms from Cr at (0.0000, 0.0000, 0.0000), Sb at (0.0000, 0.0000, 0.5000) and Au at (0.5000, 0.5000, 0.5000).


(17)
A plane-wave DFT calculation with meta-GGA SCAN was carried out for a PBEsol-optimized structure of ZnCrSb2Au.

The crystal system is tetragonal. The value obtained for the total energy is -173.030 eV/f.u. For the density of states at the Fermi level, the calculation gives 0.478 states/eV/atom. As for the raw formation energy: 0.51 eV/atom.

The structure belongs to space group P4/mmm (No. 123); the cell edges are 4.8517, 4.8517 and 4.7087 Å and the angles 90.00°, 90.00° and 90.00°. Symmetry generates all atoms from Zn at (0.0000, 0.0000, 0.0000), Cr at (0.0000, 0.0000, 0.5000), Sb at (0.0000, 0.5000, 0.5000) and Au at (0.5000, 0.5000, 0.0000).


(18)
A plane-wave DFT calculation with meta-GGA SCAN was carried out for a PBEsol-optimized structure of ScCrAuSe2.

The crystal system is tetragonal. The value obtained for the total energy is -140.846 eV/f.u. For the density of states at the Fermi level, the calculation gives 0.485 states/eV/atom. As for the raw formation energy: 0.22 eV/atom.

The structure belongs to space group P4/mmm (No. 123); the cell edges are 5.0242, 5.0242 and 4.8110 Å and the angles 90.00°, 90.00° and 90.00°. Symmetry generates all atoms from Sc at (0.0000, 0.0000, 0.0000), Cr at (0.5000, 0.5000, 0.0000), Au at (0.5000, 0.5000, 0.5000) and Se at (0.0000, 0.5000, 0.5000).


(19)
A plane-wave DFT calculation with meta-GGA SCAN was carried out for a PBEsol-optimized structure of ScCr2TeAu.

The crystal system is tetragonal. The value obtained for the total energy is -151.604 eV/f.u. For the density of states at the Fermi level, the calculation gives 0.598 states/eV/atom. As for the raw formation energy: 1.16 eV/atom.

The structure belongs to space group P4/mmm (No. 123); the cell edges are 4.6838, 4.6838 and 5.1736 Å and the angles 90.00°, 90.00° and 90.00°. Symmetry generates all atoms from Sc at (0.0000, 0.0000, 0.0000), Cr at (0.0000, 0.5000, 0.0000), Te at (0.0000, 0.0000, 0.5000) and Au at (0.5000, 0.5000, 0.5000).


(20)
A plane-wave DFT calculation with meta-GGA SCAN was carried out for a PBEsol-optimized structure of Cr2AuSe.

The crystal system is cubic. The value obtained for the total energy is -125.207 eV/f.u. For the density of states at the Fermi level, the calculation gives 0.672 states/eV/atom. As for the raw formation energy: 0.20 eV/atom.

The structure belongs to space group F-43m (No. 216); the cell edges are 6.3627, 6.3627 and 6.3627 Å and the angles 90.00°, 90.00° and 90.00°. Symmetry generates all atoms from Cr at (0.0000, 0.0000, 0.0000), Cr at (0.2500, 0.2500, 0.2500), Au at (0.0000, 0.0000, 0.5000) and Se at (0.2500, 0.2500, 0.7500).


| no. | M_tot (μB/cell) |
| --- | --- |
| 1 | 14.304 |
| 2 | 3.996 |
| 3 | 0.000 |
| 4 | 2.330 |
| 5 | 8.821 |
| 6 | 0.000 |
| 7 | 0.007 |
| 8 | 6.107 |
| 9 | 7.887 |
| 10 | 0.004 |
| 11 | 9.000 |
| 12 | 4.564 |
| 13 | 0.012 |
| 14 | 7.909 |
| 15 | 13.364 |
| 16 | 1.369 |
| 17 | 1.074 |
| 18 | 5.757 |
| 19 | 7.947 |
| 20 | 0.246 |